Run i
AcLaPmHg GGA-PBE optimized geometry; N(E_F) = 1.40 states/eV/atom
1.0
3.8651 0.0000 0.0000
0.0000 3.8651 0.0000
0.0000 0.0000 9.0625
Ac La Pm Hg
1 1 1 1
Cartesian
0.0000 0.0000 0.0000
1.9326 1.9326 6.4261
1.9326 1.9326 2.5742
0.0000 0.0000 4.3939

***

Run ii
AcLaPmHg GGA-PBE optimized geometry; N(E_F) = 1.53 states/eV/atom
1.0
0.0000 4.0470 4.0470
4.0470 0.0000 4.0470
4.0470 4.0470 0.0000
Ac La Pm Hg
1 1 1 1
Cartesian
0.0000 0.0000 0.0000
2.0235 2.0235 2.0235
6.0705 6.0705 6.0705
4.0470 4.0470 4.0470

***

The least stable of the structures above is run ii, whereas run i is the most stable.